Entry 1:
VASP calculation (PBE) on a geometry-optimized Pr4MgGa12 structure. Values from VASP.

The structure in Quantum ESPRESSO input format:
```
&SYSTEM
  ibrav = 0, nat = 17, ntyp = 3
/
ATOMIC_SPECIES
Pr 140.91 Pr.upf
Mg 24.30 Mg.upf
Ga 69.72 Ga.upf
CELL_PARAMETERS angstrom
-4.482 4.482 4.482
4.482 -4.482 4.482
4.482 4.482 -4.482
ATOMIC_POSITIONS crystal
Pr 0.000 0.000 0.500
Pr 0.000 0.500 0.000
Pr 0.500 0.000 0.000
Pr 0.500 0.500 0.500
Mg 0.000 0.000 0.000
Ga 0.000 0.315 0.315
Ga 0.000 0.685 0.685
Ga 0.250 0.500 0.750
Ga 0.250 0.750 0.500
Ga 0.315 0.000 0.315
Ga 0.315 0.315 0.000
Ga 0.500 0.250 0.750
Ga 0.500 0.750 0.250
Ga 0.685 0.000 0.685
Ga 0.685 0.685 0.000
Ga 0.750 0.250 0.500
Ga 0.750 0.500 0.250
```

Output
Its energy of formation is -530 meV per atom. For the total DFT energy (no corrections), the calculation gives -3.885 eV per atom.

---

Entry 2:
VASP calculation (PBE) on a geometry-optimized Pr3Mg3Ga8 structure. Values from VASP.

The structure in Quantum ESPRESSO input format:
```
&SYSTEM
  ibrav = 0, nat = 14, ntyp = 3
/
ATOMIC_SPECIES
Pr 140.91 Pr.upf
Mg 24.30 Mg.upf
Ga 69.72 Ga.upf
CELL_PARAMETERS angstrom
-2.182 4.984 6.831
2.182 -4.984 6.831
2.182 4.984 -6.831
ATOMIC_POSITIONS crystal
Pr 0.000 0.000 0.000
Pr 0.302 0.302 0.000
Pr 0.698 0.698 0.000
Mg 0.288 0.500 0.788
Mg 0.500 0.000 0.500
Mg 0.712 0.500 0.212
Ga 0.032 0.663 0.369
Ga 0.134 0.857 0.277
Ga 0.294 0.663 0.631
Ga 0.421 0.143 0.277
Ga 0.579 0.857 0.723
Ga 0.706 0.337 0.369
Ga 0.866 0.143 0.723
Ga 0.968 0.337 0.631
```

Output
Its energy of formation is -485 meV per atom. For the total DFT energy (no corrections), the calculation gives -3.580 eV per atom.

---

Which of these has the highest energy of formation? Pr3Mg3Ga8